(1)
Below is crystalline Er2Ga3Ir at its relaxed geometry, with properties calculated at the PBE level.

Unit cell a=4.6260 b=5.6130 c=6.0649 alpha=117.56 beta=112.42 gamma=90.00
With the nearest neighbours (Å) after each atom.
Fractional positions:
1 Er 0.6939 0.1939 0.3878  6 Ga 2.88-2.98, 1 Ir 2.97
2 Er 0.3061 0.8061 0.6122  6 Ga 2.88-2.98, 1 Ir 2.97
3 Ga 0.3709 0.3709 0.7417  1 Ga 2.51, 2 Ir 2.63
4 Ga 0.0000 0.0000 0.0000  2 Ir 2.81, 4 Er 2.98
5 Ga 0.6291 0.6291 0.2583  1 Ga 2.51, 2 Ir 2.63
6 Ir 0.0000 0.5000 0.0000  6 Ga 2.63-2.81

Calculated values
The density of states at the Fermi level comes out at 5.71 states/eV/f.u. For the volume, the calculation gives 126 Å³/cell. The total magnetization comes out at 0.000 Bohr magnetons per cell. The calculation puts the uncorrected energy at -28.9 eV per cell. The calculation puts the formation enthalpy at 0 K at -0.3066 eV per atom.

---

(2)
Below is crystalline Ag4Pt2Au5 at its relaxed geometry, with properties calculated at the PBE level.

Unit cell a=2.9012 b=6.4845 c=10.5713 alpha=89.38 beta=82.00 gamma=103.17
With the nearest neighbours (Å) after each atom.
Fractional positions:
1 Ag 0.3144 0.1780 0.5492  5 Ag 2.90-2.92, 7 Au 2.91-3.02
2 Ag 0.7693 0.7205 0.1816  3 Pt 2.87-2.89, 6 Au 2.89-2.96, 3 Ag 2.90-2.92
3 Ag 0.6856 0.8220 0.4508  5 Ag 2.90-2.92, 7 Au 2.91-3.02
4 Ag 0.2307 0.2795 0.8184  3 Pt 2.87-2.89, 6 Au 2.89-2.96, 3 Ag 2.90-2.92
5 Pt 0.8588 0.6340 0.9150  4 Pt 2.80-2.90, 3 Ag 2.87-2.89, 5 Au 2.89-3.00
6 Pt 0.1412 0.3660 0.0850  4 Pt 2.80-2.90, 3 Ag 2.87-2.89, 5 Au 2.89-3.00
7 Au 0.9568 0.5472 0.6352  6 Ag 2.89-2.93, 5 Au 2.90-2.92, 1 Pt 3.00
8 Au 0.0432 0.4528 0.3648  6 Ag 2.89-2.93, 5 Au 2.90-2.92, 1 Pt 3.00
9 Au 0.5862 0.9041 0.7330  5 Au 2.89-2.91, 2 Pt 2.89, 5 Ag 2.91-3.02
10 Au 0.5000 0.0000 0.0000  4 Au 2.89-2.90, 4 Pt 2.90, 4 Ag 2.92-2.93
11 Au 0.4138 0.0959 0.2670  5 Au 2.89-2.91, 2 Pt 2.89, 5 Ag 2.91-3.02

Calculated values
The density of states at the Fermi level comes out at 3.73 states/eV/f.u. For the volume, the calculation gives 192 Å³/cell. The total magnetization comes out at 0.000 Bohr magnetons per cell. The calculation puts the uncorrected energy at -40.1 eV per cell. The calculation puts the formation enthalpy at 0 K at -0.0232 eV per atom.

---

(3)
Below is crystalline Cs2ZrZn at its relaxed geometry, with properties calculated at the PBE level.

Unit cell a=6.4897 b=6.4897 c=6.4897 alpha=60.00 beta=60.00 gamma=60.00
With the nearest neighbours (Å) after each atom.
Fractional positions:
1 Cs 0.2500 0.2500 0.2500  4 Zr 3.97, 4 Zn 3.97
2 Cs 0.7500 0.7500 0.7500  4 Zn 3.97, 4 Zr 3.97
3 Zn 0.0000 0.0000 0.0000  8 Cs 3.97
4 Zr 0.5000 0.5000 0.5000  8 Cs 3.97

Calculated values
The density of states at the Fermi level comes out at 13.78 states/eV/f.u. For the volume, the calculation gives 193 Å³/cell. The total magnetization comes out at 3.957 Bohr magnetons per cell. The calculation puts the uncorrected energy at -6.9 eV per cell. The calculation puts the formation enthalpy at 0 K at 1.1449 eV per atom.

---

(4)
Below is crystalline Tb2Y3Er6Th at its relaxed geometry, with properties calculated at the PBE level.

Unit cell a=6.1338 b=6.1338 c=11.7271 alpha=95.01 beta=95.01 gamma=119.96
With the nearest neighbours (Å) after each atom.
Fractional positions:
1 Tb 0.3334 0.6666 0.0000  6 Er 3.53, 3 Tb 3.54, 3 Th 3.54
2 Tb 0.6666 0.3334 0.0000  6 Er 3.53, 3 Tb 3.54, 3 Th 3.54
3 Y 0.1673 0.8327 0.5000  6 Y 3.53-3.55, 6 Er 3.54-3.56
4 Y 0.8327 0.1673 0.5000  6 Y 3.53-3.55, 6 Er 3.54-3.56
5 Y 0.5000 0.5000 0.5000  6 Y 3.53-3.55, 6 Er 3.54-3.57
6 Er 0.9161 0.5861 0.7513  6 Er 3.50-3.56, 1 Th 3.52, 2 Tb 3.53, 3 Y 3.54-3.56
7 Er 0.7540 0.7540 0.2488  6 Er 3.51-3.56, 1 Th 3.51, 2 Tb 3.53, 3 Y 3.54-3.57
8 Er 0.0839 0.4139 0.2487  6 Er 3.50-3.56, 1 Th 3.52, 2 Tb 3.53, 3 Y 3.54-3.56
9 Er 0.5861 0.9161 0.7513  6 Er 3.50-3.56, 1 Th 3.52, 2 Tb 3.53, 3 Y 3.54-3.56
10 Er 0.2460 0.2460 0.7512  6 Er 3.51-3.56, 1 Th 3.51, 2 Tb 3.53, 3 Y 3.54-3.57
11 Er 0.4139 0.0839 0.2487  6 Er 3.50-3.56, 1 Th 3.52, 2 Tb 3.53, 3 Y 3.54-3.56
12 Th 0.0000 0.0000 0.0000  6 Er 3.51-3.52, 6 Tb 3.54

Calculated values
The density of states at the Fermi level comes out at 16.62 states/eV/f.u. For the volume, the calculation gives 376 Å³/cell. The total magnetization comes out at 0.000 Bohr magnetons per cell. The calculation puts the uncorrected energy at -63.1 eV per cell. The calculation puts the formation enthalpy at 0 K at 0.0270 eV per atom.

---

(5)
Below is crystalline NbGe2PdO at its relaxed geometry, with properties calculated at the PBE level.

Unit cell a=4.5757 b=5.3673 c=4.5757 alpha=90.00 beta=90.00 gamma=90.00
With the nearest neighbours (Å) after each atom.
Fractional positions:
1 O 0.5000 0.5000 0.5000  4 Nb 3.24, 8 Ge 3.53
2 Nb 0.0000 0.5000 0.0000  2 Pd 2.68
3 Ge 0.0000 0.0000 0.5000  2 Pd 2.29
4 Ge 0.5000 0.0000 0.0000  2 Pd 2.29
5 Pd 0.0000 0.0000 0.0000  4 Ge 2.29

Calculated values
The density of states at the Fermi level comes out at 4.26 states/eV/f.u. For the volume, the calculation gives 112 Å³/cell. The total magnetization comes out at 2.606 Bohr magnetons per cell. The calculation puts the uncorrected energy at -24.5 eV per cell. The value obtained for the energy relative to the elements, uncorrected is 4.9 eV per formula unit.

---

(6)
Below is crystalline CdIn2Ni at its relaxed geometry, with properties calculated at the PBE level.

Unit cell a=9.4556 b=9.4556 c=9.4556 alpha=19.72 beta=19.72 gamma=19.72
With the nearest neighbours (Å) after each atom.
Fractional positions:
1 Cd 0.7647 0.7647 0.7647  3 Ni 2.70
2 In 0.9999 0.9999 0.9999  9 In 3.24-3.33, 3 Cd 3.31
3 In 0.2342 0.2342 0.2342  3 Ni 2.63
4 Ni 0.5012 0.5012 0.5012  3 In 2.63, 3 Cd 2.70

Calculated values
The density of states at the Fermi level comes out at 1.32 states/eV/f.u. For the volume, the calculation gives 84 Å³/cell. The total magnetization comes out at 0.000 Bohr magnetons per cell. The calculation puts the uncorrected energy at -11.8 eV per cell. The calculation puts the formation enthalpy at 0 K at 0.0921 eV per atom.

---

(7)
Below is crystalline TmHf2Tc at its relaxed geometry, with properties calculated at the PBE level.

Unit cell a=3.3098 b=3.3098 c=7.9724 alpha=90.00 beta=90.00 gamma=90.00
With the nearest neighbours (Å) after each atom.
Fractional positions:
1 Tm 0.5000 0.5000 0.5000  4 Tm 3.31, 8 Hf 3.39
2 Hf 0.0000 0.0000 0.8073  4 Tc 2.80, 1 Hf 3.07
3 Hf 0.0000 0.0000 0.1927  4 Tc 2.80, 1 Hf 3.07
4 Tc 0.5000 0.5000 0.0000  8 Hf 2.80

Calculated values
The density of states at the Fermi level comes out at 5.08 states/eV/f.u. For the volume, the calculation gives 87 Å³/cell. The total magnetization comes out at 0.002 Bohr magnetons per cell. The energy above the lowest structure with this stoichiometry is 0.0 meV per atom. The calculation puts the uncorrected energy at -35.4 eV per cell. The calculation puts the formation enthalpy at 0 K at -0.1606 eV per atom.

---

(8)
Below is crystalline RbBaIN2 at its relaxed geometry, with properties calculated at the PBE level.

Unit cell a=5.3294 b=5.3294 c=7.0742 alpha=90.00 beta=90.00 gamma=90.00
With the nearest neighbours (Å) after each atom.
Fractional positions:
1 I 0.0000 0.0000 0.5000  2 Ba 3.54, 4 Rb 3.77
2 Ba 0.0000 0.0000 0.0000  4 N 2.66
3 Rb 0.5000 0.5000 0.5000  4 I 3.77
4 N 0.0000 0.5000 0.0000  2 Ba 2.66
5 N 0.5000 0.0000 0.0000  2 Ba 2.66

Calculated values
The density of states at the Fermi level comes out at 3.09 states/eV/f.u. For the volume, the calculation gives 201 Å³/cell. The total magnetization comes out at 4.000 Bohr magnetons per cell. The energy above the lowest structure with this stoichiometry is 0.0 meV per atom. The calculation puts the uncorrected energy at -18.5 eV per cell. The value obtained for the energy relative to the elements, uncorrected is 2.5 eV per formula unit.

---

(9)
Below is crystalline GdCuGe2 at its relaxed geometry, with properties calculated at the PBE level.

Unit cell a=4.1473 b=4.2654 c=4.2654 alpha=90.00 beta=90.00 gamma=90.00
With the nearest neighbours (Å) after each atom.
Fractional positions:
1 Ge 0.0000 0.0000 0.5000  4 Gd 2.97, 4 Cu 2.97, 4 Ge 3.02
2 Ge 0.0000 0.5000 0.0000  4 Gd 2.97, 4 Cu 2.97, 4 Ge 3.02
3 Gd 0.5000 0.0000 0.0000  8 Ge 2.97, 4 Cu 3.02
4 Cu 0.5000 0.5000 0.5000  8 Ge 2.97, 4 Gd 3.02

Calculated values
The density of states at the Fermi level comes out at 1.80 states/eV/f.u. For the volume, the calculation gives 75 Å³/cell. The total magnetization comes out at 6.955 Bohr magnetons per cell. The calculation puts the uncorrected energy at -28.9 eV per cell. The calculation puts the formation enthalpy at 0 K at -0.3630 eV per atom.

---

(10)
Below is crystalline Li3Ca2Zn at its relaxed geometry, with properties calculated at the PBE level.

Unit cell a=3.7894 b=4.8636 c=8.5856 alpha=90.00 beta=90.00 gamma=90.00
With the nearest neighbours (Å) after each atom.
Fractional positions:
1 Li 0.5000 0.0000 0.8319  3 Li 2.85-2.92
2 Li 0.5000 0.0000 0.1723  2 Zn 2.80, 1 Li 2.92
3 Li 0.5000 0.5000 0.6580  1 Zn 2.78, 2 Li 2.85
4 Ca 0.0000 0.5000 0.0286  2 Zn 3.24, 8 Li 3.32-3.51
5 Ca 0.0000 0.0000 0.4748  6 Li 3.21-3.46, 4 Zn 3.31
6 Zn 0.5000 0.5000 0.3344  3 Li 2.78-2.80

Calculated values
The density of states at the Fermi level comes out at 3.95 states/eV/f.u. For the volume, the calculation gives 158 Å³/cell. The total magnetization comes out at 0.000 Bohr magnetons per cell. The energy above the lowest structure with this stoichiometry is 45.0 meV per atom. The calculation puts the uncorrected energy at -11.2 eV per cell. The calculation puts the formation enthalpy at 0 K at -0.0303 eV per atom.

---

(11)
Below is crystalline Ac4SnPbI2 at its relaxed geometry, with properties calculated at the PBE level.

Unit cell a=4.9395 b=8.1431 c=8.5478 alpha=69.45 beta=90.00 gamma=90.00
With the nearest neighbours (Å) after each atom.
Fractional positions:
1 Ac 0.0000 0.7255 0.7552  1 Sn 3.31, 2 Pb 3.34, 3 I 3.53-3.56
2 Ac 0.0000 0.2745 0.2448  1 Sn 3.31, 2 Pb 3.34, 3 I 3.53-3.56
3 Ac 0.5000 0.7239 0.2618  2 Sn 3.31, 1 Pb 3.35, 3 I 3.52-3.55
4 Ac 0.5000 0.2761 0.7382  2 Sn 3.31, 1 Pb 3.35, 3 I 3.52-3.55
5 Sn 0.0000 0.5000 0.5000  6 Ac 3.31
6 Pb 0.5000 0.5000 0.0000  6 Ac 3.34-3.35
7 I 0.0000 0.0000 0.0000  6 Ac 3.55-3.56
8 I 0.5000 0.0000 0.5000  6 Ac 3.52-3.53

Calculated values
The density of states at the Fermi level comes out at 4.27 states/eV/f.u. For the volume, the calculation gives 322 Å³/cell. The total magnetization comes out at 0.000 Bohr magnetons per cell. The calculation puts the uncorrected energy at -34.2 eV per cell. The value obtained for the energy relative to the elements, uncorrected is -6.9 eV per formula unit.

---

(12)
Below is crystalline KPuP at its relaxed geometry, with properties calculated at the PBE level.

Unit cell a=3.6171 b=3.6171 c=16.1251 alpha=118.30 beta=118.30 gamma=78.87
With the nearest neighbours (Å) after each atom.
Fractional positions:
1 K 0.3525 0.3525 0.6723  3 P 3.19-3.32
2 K 0.6475 0.6475 0.3277  3 P 3.19-3.32
3 Pu 0.7357 0.7357 0.9577  3 Pu 2.37-2.63
4 Pu 0.2643 0.2643 0.0423  3 Pu 2.37-2.63
5 P 0.1049 0.1049 0.8442  4 Pu 2.74-2.80
6 P 0.8951 0.8951 0.1558  4 Pu 2.74-2.80

Calculated values
The density of states at the Fermi level comes out at 3.44 states/eV/f.u. For the volume, the calculation gives 163 Å³/cell. The total magnetization comes out at 2.601 Bohr magnetons per cell. The calculation puts the uncorrected energy at -43.7 eV per cell. The calculation puts the formation enthalpy at 0 K at -0.3288 eV per atom.

---

Which of these has the highest uncorrected energy? Cs2ZrZn

---

Which value of uncorrected energy does entry 5 give? -24.5 eV per cell